Entry 1:
Compound: Tb2PrSmMg
Source: the Alexandria database
Functional: PBE
Structure: optimized geometry

a b c (Å): 4.9822 6.1302 11.2764
angles (deg): 90.17 90.00 113.98
Last column: nearest neighbours and their distance in Å.
Fractional positions:
1 Tb 0.3534 0.7068 0.5473  5 Mg 3.43-3.52, 3 Tb 3.46-3.56, 3 Pr 3.50-3.52, 1 Sm 3.58
2 Tb 0.6466 0.2932 0.4527  5 Mg 3.43-3.52, 3 Tb 3.46-3.56, 3 Pr 3.50-3.52, 1 Sm 3.58
3 Tb 0.1536 0.3071 0.9478  3 Tb 3.50-3.64, 5 Sm 3.53-3.59, 3 Pr 3.57-3.62, 1 Mg 3.64
4 Tb 0.8464 0.6929 0.0522  3 Tb 3.50-3.64, 5 Sm 3.53-3.59, 3 Pr 3.57-3.62, 1 Mg 3.64
5 Pr 0.2454 0.4908 0.2559  6 Tb 3.50-3.62, 3 Sm 3.54-3.58, 3 Mg 3.55-3.56
6 Pr 0.7546 0.5092 0.7441  6 Tb 3.50-3.62, 3 Sm 3.54-3.58, 3 Mg 3.55-3.56
7 Sm 0.5467 0.0934 0.1506  6 Tb 3.53-3.59, 3 Pr 3.54-3.58, 1 Sm 3.55, 2 Mg 3.61
8 Sm 0.4533 0.9066 0.8494  6 Tb 3.53-3.59, 3 Pr 3.54-3.58, 1 Sm 3.55, 2 Mg 3.61
9 Mg 0.9465 0.8931 0.3598  1 Mg 3.38, 6 Tb 3.43-3.64, 3 Pr 3.55-3.56, 2 Sm 3.61
10 Mg 0.0535 0.1069 0.6402  1 Mg 3.38, 6 Tb 3.43-3.64, 3 Pr 3.55-3.56, 2 Sm 3.61

Computed properties:
Formation energy from the elements (meV per atom): 25
E_tot (eV/atom): -4.046
Space-group type: No. 12

Entry 2:
Compound: Rb2Pu3NpO12
Source: the Alexandria database
Functional: PBE
Structure: optimized geometry

a b c (Å): 7.8803 7.8803 7.8803
angles (deg): 59.47 59.47 59.47
Last column: nearest neighbours and their distance in Å.
Fractional positions:
1 Rb 0.6248 0.6248 0.6248  6 O 3.41-3.44
2 Rb 0.3752 0.3752 0.3752  6 O 3.41-3.44
3 Pu 0.5000 0.0000 0.0000  6 O 2.09-2.14
4 Pu 0.0000 0.5000 0.0000  6 O 2.09-2.14
5 Pu 0.0000 0.0000 0.5000  6 O 2.09-2.14
6 Np 0.0000 0.0000 0.0000  6 O 2.06
7 O 0.3174 0.3174 0.9338  2 Pu 2.09
8 O 0.9343 0.9343 0.3119  1 Np 2.06, 1 Pu 2.14
9 O 0.3119 0.9343 0.9343  1 Np 2.06, 1 Pu 2.14
10 O 0.9338 0.3174 0.3174  2 Pu 2.09
11 O 0.9343 0.3119 0.9343  1 Np 2.06, 1 Pu 2.14
12 O 0.3174 0.9338 0.3174  2 Pu 2.09
13 O 0.6826 0.6826 0.0662  2 Pu 2.09
14 O 0.0657 0.0657 0.6881  1 Np 2.06, 1 Pu 2.14
15 O 0.6881 0.0657 0.0657  1 Np 2.06, 1 Pu 2.14
16 O 0.0662 0.6826 0.6826  2 Pu 2.09
17 O 0.0657 0.6881 0.0657  1 Np 2.06, 1 Pu 2.14
18 O 0.6826 0.0662 0.6826  2 Pu 2.09

Computed properties:
E_tot (eV/atom): -9.131
Space-group type: No. 166
Formation energy without anion corrections (eV/atom): -2.610

Calculated total magnetization, 0.00; 9.00 μB per cell (same order as the records).